{"formula": "SbPdRhAu", "functional": "PBE", "state": "optimized geometry", "lattice_angstrom": [[-2.2736, -1.4556, 3.7165], [1.2687, -3.8875, 2.0923], [2.0054, 0.1631, 4.1294]], "species": ["Sb", "Rh", "Au", "Pd"], "frac_coords": [[0.2500, 0.2500, 0.2500], [0.5000, 0.5000, 0.5000], [0.7500, 0.7500, 0.7500], [0.0000, 0.0000, 0.0000]], "raw_formation_energy_kj_per_mol_fu": -75}

{"formula": "CaAl2Cd", "functional": "PBE", "state": "optimized geometry", "lattice_angstrom": [[-3.3796, 0.0369, -0.2571], [-0.2738, -0.7374, 3.4943], [-0.0367, 7.1825, 1.5128]], "species": ["Ca", "Al", "Al", "Cd"], "frac_coords": [[0.0000, 0.0000, 0.4903], [0.0000, 0.0000, 0.0180], [0.5000, 0.5000, 0.2013], [0.5000, 0.5000, 0.7904]], "formation_enthalpy_0k_mev_per_atom": -111}

{"formula": "Cu2HgMo", "functional": "PBE", "state": "optimized geometry", "lattice_angstrom": [[4.7865, -0.0088, 0.0000], [1.4242, 4.5698, 0.0000], [-3.1054, -2.2805, 2.8403]], "species": ["Cu", "Cu", "Hg", "Mo"], "frac_coords": [[0.0000, 0.0000, 0.0000], [0.2500, 0.7500, 0.5000], [0.5000, 0.5000, 0.0000], [0.7500, 0.2500, 0.5000]], "formation_enthalpy_0k_mev_per_atom": 562}